No. 1
# Tm2MgBiC

A geometry-optimized Tm2MgBiC structure (PBE, the Alexandria database).

Computed properties:
* volume: 21.3 Å³ per atom

Unit cell a=4.9089 b=4.9089 c=4.4230 alpha=90.00 beta=90.00 gamma=90.00
With the nearest neighbours (Å) after each atom.
Space group P4/mmm (No. 123)
Inequivalent atoms, fractional coordinates:
Tm 0.0000 0.5000 0.0000 x2  2 C 2.45
Mg 0.0000 0.0000 0.5000 x1  2 C 2.21
Bi 0.5000 0.5000 0.5000 x1  8 Tm 3.30, 4 Mg 3.47
C 0.0000 0.0000 0.0000 x1  2 Mg 2.21, 4 Tm 2.45



No. 2
# MnBeZn2

A geometry-optimized MnBeZn2 structure (PBE, the Alexandria database).

Computed properties:
* volume: 12.6 Å³ per atom

Unit cell a=5.7808 b=5.9110 c=4.1181 alpha=90.00 beta=134.40 gamma=90.00
With the nearest neighbours (Å) after each atom.
Space group C2 (No. 5)
Inequivalent atoms, fractional coordinates:
Mn 0.0000 0.0000 0.0000 x2  4 Be 2.53-2.54, 4 Zn 2.54
Be 0.0000 0.7504 0.5000 x2  4 Mn 2.53-2.54, 4 Zn 2.53-2.54
Zn 0.0000 0.2504 0.5000 x2  4 Zn 2.54, 4 Mn 2.54
Zn 0.0000 0.5008 0.0000 x2  4 Be 2.53-2.54, 4 Zn 2.54



No. 3
# DyCuSnTe3

A geometry-optimized DyCuSnTe3 structure (PBE, the Alexandria database).

Computed properties:
* formation energy without anion corrections: -0.653 eV per atom
* volume: 29.9 Å³ per atom

Unit cell a=9.0838 b=4.2589 c=9.5845 alpha=90.00 beta=104.43 gamma=90.00
With the nearest neighbours (Å) after each atom.
Space group P2_1/m (No. 11)
Inequivalent atoms, fractional coordinates:
Dy 0.1751 0.2500 0.1704 x2  6 Te 3.03-3.12
Cu 0.4249 0.7500 0.4266 x2  4 Te 2.66-2.75, 2 Cu 2.72
Sn 0.3164 0.7500 0.7642 x2  7 Te 3.25-3.45, 1 Cu 3.61
Te 0.0713 0.2500 0.8349 x2  3 Dy 3.08-3.12, 2 Sn 3.27
Te 0.2724 0.2500 0.4963 x2  3 Cu 2.66-2.71
Te 0.4067 0.7500 0.1363 x2  1 Cu 2.75, 2 Dy 3.07



No. 4
# Cr4Se5

A geometry-optimized Cr4Se5 structure (PBE, the Alexandria database).

Computed properties:
* relative energy among the computed polymorphs: 0.0000 eV per atom
* formation energy without anion corrections: -0.176 eV per atom
* volume: 19.1 Å³ per atom

Unit cell a=7.5098 b=7.5098 c=7.0526 alpha=90.00 beta=90.00 gamma=120.00
With the nearest neighbours (Å) after each atom.
Space group P6_3/mcm (No. 193)
Inequivalent atoms, fractional coordinates:
Cr 0.0000 0.0000 0.0000 x2  6 Se 2.54
Cr 0.0000 0.4213 0.2500 x6  3 Se 2.52-2.75
Se 0.0000 0.2437 0.7500 x6  5 Cr 2.52-2.75
Se 0.3333 0.6667 0.0000 x4  6 Cr 2.86



No. 5
# Y2TmTc9

A geometry-optimized Y2TmTc9 structure (PBE, the Alexandria database).

Computed properties:
* volume: 18.0 Å³ per atom

Unit cell a=5.3398 b=5.3398 c=26.2439 alpha=90.00 beta=90.00 gamma=120.00
With the nearest neighbours (Å) after each atom.
Space group R-3m (No. 166, hexagonal axes)
Inequivalent atoms, fractional coordinates:
Y 0.0000 0.0000 0.1435 x6  12 Tc 3.11-3.18, 3 Y 3.31
Tm 0.0000 0.0000 0.0000 x3  18 Tc 3.08-3.45
Tc 0.0000 0.0000 0.3376 x6  6 Tc 2.60-2.74
Tc 0.0000 0.0000 0.5000 x3  6 Tc 2.71
Tc 0.0097 0.5048 0.9170 x18  7 Tc 2.59-2.75



No. 6
# Cs2In3Sn4Hg

A geometry-optimized Cs2In3Sn4Hg structure (PBE, the Alexandria database).

Computed properties:
* volume: 33.8 Å³ per atom

Unit cell a=5.2798 b=5.2798 c=12.1124 alpha=90.00 beta=90.00 gamma=90.00
With the nearest neighbours (Å) after each atom.
Space group P-4m2 (No. 115)
Inequivalent atoms, fractional coordinates:
Cs 0.0000 0.5000 0.2460 x2  2 Hg 3.98, 6 In 3.98-4.03, 8 Sn 4.01-4.05
In 0.0000 0.0000 0.0000 x1  4 Sn 3.05
In 0.0000 0.5000 0.6294 x2  5 Sn 2.97-3.07
Sn 0.0000 0.0000 0.5000 x1  4 In 3.07
Sn 0.0000 0.5000 0.8746 x2  3 In 2.97-3.05, 2 Hg 3.05
Sn 0.5000 0.5000 0.5000 x1  4 In 3.07
Hg 0.5000 0.5000 0.0000 x1  4 Sn 3.05



| no. | theoretical density (Mg/m³) | raw total energy (eV/atom) |
| --- | --- | --- |
| 1 | 9.09 | -5.180 |
| 2 | 6.43 | -3.750 |
| 3 | 6.73 | -4.340 |
| 4 | 5.81 | -6.389 |
| 5 | 9.45 | -9.276 |
| 6 | 6.32 | -2.784 |